Model 1:
# HfTc2N2 (PBE-GGA, relaxed)
data_HfTc2N2
_cell_length_a 3.7979
_cell_length_b 3.7979
_cell_length_c 9.1375
_cell_angle_alpha 90.00
_cell_angle_beta 90.00
_cell_angle_gamma 90.00
_space_group_name_H-M_alt 'I 4/m m m'
_space_group_IT_number 139
_space_group_name_Hall '-I 4 2'
loop_
_atom_site_label
_atom_site_type_symbol
_atom_site_fract_x
_atom_site_fract_y
_atom_site_fract_z
_atom_site_occupancy
Hf1 Hf 0.0000 0.0000 0.0000 1
Tc1 Tc 0.0000 0.5000 0.2500 1
N1 N 0.0000 0.0000 0.3471 1
# Volume: 13.2 A^3/atom
# Magnetic moment: 0.00 μB per cell
# DOS at the Fermi energy: 4.78 states/eV per cell

***

Model 2:
# HfTc2N2 (PBE-GGA, relaxed)
data_HfTc2N2
_cell_length_a 5.9077
_cell_length_b 5.9077
_cell_length_c 3.8776
_cell_angle_alpha 90.00
_cell_angle_beta 90.00
_cell_angle_gamma 90.00
_space_group_name_H-M_alt 'P 4/m b m'
_space_group_IT_number 127
_space_group_name_Hall '-P 4 2ab'
loop_
_atom_site_label
_atom_site_type_symbol
_atom_site_fract_x
_atom_site_fract_y
_atom_site_fract_z
_atom_site_occupancy
Hf1 Hf 0.0000 0.0000 0.0000 1
Tc1 Tc 0.1688 0.3312 0.5000 1
N1 N 0.1673 0.3327 0.0000 1
# Volume: 13.5 A^3/atom
# Magnetic moment: 0.00 μB per cell
# DOS at the Fermi energy: 7.04 states/eV per cell

***

The energetic minimum among the shown structures is model 2; the next structure lies 62.1 kJ/mol of atoms above.